Record 1
Material: U4FeRh12
Method: DFT, PBE
State: relaxed

Cell: 7.1358 7.1358 7.1358 Å, 109.47 109.47 109.47°
Closest atoms and distances in Å follow each position.
Sites, in units of the cell vectors:
Rh: 0.7146 0.0000 0.7146  1 Fe 2.35
Rh: 0.2500 0.5000 0.7500  8 Rh 2.71-2.91, 4 U 2.91
Rh: 0.5000 0.2500 0.7500  8 Rh 2.71-2.91, 4 U 2.91
Rh: 0.0000 0.2854 0.2854  1 Fe 2.35
Rh: 0.2854 0.0000 0.2854  1 Fe 2.35
Rh: 0.5000 0.7500 0.2500  8 Rh 2.71-2.91, 4 U 2.91
Rh: 0.7500 0.2500 0.5000  8 Rh 2.71-2.91, 4 U 2.91
Rh: 0.0000 0.7146 0.7146  1 Fe 2.35
Rh: 0.2500 0.7500 0.5000  8 Rh 2.71-2.91, 4 U 2.91
Rh: 0.2854 0.2854 0.0000  1 Fe 2.35
Rh: 0.7500 0.5000 0.2500  8 Rh 2.71-2.91, 4 U 2.91
Rh: 0.7146 0.7146 0.0000  1 Fe 2.35
Fe: 0.0000 0.0000 0.0000  6 Rh 2.35
U: 0.0000 0.0000 0.5000  12 Rh 2.91-2.93
U: 0.5000 0.5000 0.5000  12 Rh 2.91-2.93
U: 0.5000 0.0000 0.0000  12 Rh 2.91-2.93
U: 0.0000 0.5000 0.0000  12 Rh 2.91-2.93

Summary:
Total DFT energy (no corrections): -8.8220 eV per atom
Total magnetic moment: 2.91 μB per formula unit
Energy of formation from the pure elements: -479 meV per atom

Record 2
Material: Rb2PBrF6
Method: DFT, PBE
State: relaxed

Cell: 8.2516 8.1296 8.2478 Å, 40.88 38.48 40.91°
Closest atoms and distances in Å follow each position.
Sites, in units of the cell vectors:
F: 0.2028 0.0792 0.3647  1 P 1.64
F: 0.2123 0.3117 0.9476  1 P 1.65
F: 0.6285 0.0786 0.9392  1 P 1.64
F: 0.0038 0.5537 0.1639  1 P 1.64
F: 0.4296 0.5531 0.7383  1 P 1.64
F: 0.4201 0.3207 0.1554  1 P 1.65
Rb: 0.5464 0.5617 0.2817  6 F 3.02-3.13
Rb: 0.0858 0.0705 0.8213  6 F 3.02-3.13
Br: 0.8161 0.8161 0.5515  6 Rb 3.55-3.69, 10 F 3.79-3.98
P: 0.3162 0.3162 0.0515  6 F 1.64-1.65

Summary:
Formation energy without anion corrections: -2.5587 eV per atom
Total DFT energy (no corrections): -4.5833 eV per atom
Total magnetic moment: 0.09 μB per formula unit

Record 3
Material: TiAsP2
Method: DFT, PBE
State: relaxed

Cell: 5.6941 5.6941 6.8204 Å, 65.33 65.33 90.00°
Closest atoms and distances in Å follow each position.
Sites, in units of the cell vectors:
P: 0.3750 0.3817 0.7500  2 Ti 2.42, 2 As 2.46
P: 0.6183 0.1250 0.2500  2 Ti 2.42, 2 As 2.46
P: 0.8750 0.8683 0.7500  2 Ti 2.42, 2 As 2.46
P: 0.1317 0.6250 0.2500  2 Ti 2.42, 2 As 2.46
Ti: 0.5000 0.5000 0.0000  4 P 2.42
Ti: 0.2500 0.7500 0.5000  4 P 2.42
As: 0.7500 0.2500 0.5000  4 P 2.46
As: 0.0000 0.0000 0.0000  4 P 2.46

Summary:
Total DFT energy (no corrections): -5.8828 eV per atom
Total magnetic moment: 0.74 μB per formula unit
Energy of formation from the pure elements: -42 meV per atom